A plane-wave DFT calculation with GGA-PBE was carried out for crystalline LiLaOs2 at its relaxed geometry.

## Properties
The energy of formation comes out at 1.06 eV/f.u. As for the magnetization: 0.0 μB/cell. The calculation puts the total energy at -7.0608 eV per atom. For the density of states at the Fermi level, the calculation gives 0.540 states/eV per atom.

```
LiLaOs2
1.0
4.358 0.000 0.000
0.000 2.887 0.005
0.000 1.074 5.597
Li La Os
1 1 2
direct
0.500 0.888 0.780
0.000 0.489 0.518
0.000 0.867 0.034
0.500 0.257 0.168
```